Here is a geometry-optimized TaRh3 structure from Alexandria via LeMat-Bulk. Energies are from GGA-PBE.

Output
theoretical density = 13.5 g/cm³
calculated formation energy = -1.63 eV per formula unit

Unit cell a=2.863 b=4.408 c=4.757 alpha=90.00 beta=90.00 gamma=90.00
Element x y z (fractional)
Ta  0.000  0.000  0.000
Rh  0.000  0.500  0.664
Rh  0.500  0.000  0.515
Rh  0.500  0.500  0.171